(1)
Compound: ZnCuAsHO5
Source: Alexandria
Functional: PBE
Structure: optimized geometry

Summary:
magnetization = 3.93 Bohr magnetons per cell
space group = Pnnm
total energy = -0.19622 hartree per atom

Cell lengths 6.0185, 8.7060, 8.7345 Å; angles 90.00, 90.00, 90.00 degrees
Site moments in Bohr magnetons follow the coordinates.
Fractional positions:
O (0.5000, 0.6154, 0.4012)  0.17
O (0.0000, 0.8846, 0.9012)  0.17
O (0.7722, 0.1474, 0.7547)  0.02
O (0.5000, 0.8709, 0.9255)  0.12
O (0.0000, 0.1154, 0.0988)  0.17
O (0.7722, 0.8526, 0.2453)  0.02
O (0.5000, 0.1044, 0.3941)  0.00
O (0.7278, 0.6474, 0.7453)  0.02
O (0.2722, 0.3526, 0.2547)  0.02
O (0.0000, 0.6044, 0.1059)  0.00
O (0.5000, 0.8956, 0.6059)  0.00
O (0.7278, 0.3526, 0.2547)  0.02
O (0.0000, 0.6291, 0.4255)  0.12
O (0.2278, 0.8526, 0.2453)  0.02
O (0.2722, 0.6474, 0.7453)  0.02
O (0.0000, 0.3956, 0.8941)  0.00
O (0.5000, 0.1291, 0.0745)  0.12
O (0.5000, 0.3846, 0.5988)  0.17
O (0.2278, 0.1474, 0.7547)  0.02
O (0.0000, 0.3709, 0.5745)  0.12
As (0.5000, 0.2350, 0.2449)  0.00
As (0.0000, 0.2650, 0.7449)  0.00
As (0.0000, 0.7350, 0.2551)  0.00
As (0.5000, 0.7650, 0.7551)  0.00
Zn (0.5000, 0.8602, 0.3768)  0.01
Zn (0.0000, 0.3602, 0.1232)  0.01
Zn (0.0000, 0.6398, 0.8768)  0.01
Zn (0.5000, 0.1398, 0.6232)  0.01
Cu (0.2502, 0.5000, 0.5000)  0.62
Cu (0.7498, 0.5000, 0.5000)  0.62
Cu (0.2498, 0.0000, 0.0000)  0.62
Cu (0.7502, 0.0000, 0.0000)  0.62
H (0.0000, 0.0711, 0.2024)  0.00
H (0.0000, 0.9289, 0.7976)  0.00
H (0.5000, 0.5711, 0.2976)  0.00
H (0.5000, 0.4289, 0.7024)  0.00

(2)
Compound: Cu2AsHOs
Source: Alexandria
Functional: PBE
Structure: optimized geometry

Summary:
magnetization = 1.45 Bohr magnetons per cell
space group = P4/mmm
total energy = -0.15533 hartree per atom

Cell lengths 4.8195, 4.5918, 4.8195 Å; angles 90.00, 90.00, 90.00 degrees
Site moments in Bohr magnetons follow the coordinates.
Fractional positions:
As (0.0000, 0.5000, 0.0000)  0.00
H (0.5000, 0.5000, 0.5000)  0.35
Cu (0.0000, 0.0000, 0.5000)  0.17
Cu (0.5000, 0.0000, 0.0000)  0.07
Os (0.0000, 0.0000, 0.0000)  0.33

(3)
Compound: CuAsHPd2
Source: Alexandria
Functional: PBE
Structure: optimized geometry

Summary:
magnetization = 0.00 Bohr magnetons per cell
space group = P4/mmm
total energy = -0.16803 hartree per atom

Cell lengths 4.1457, 4.1457, 3.6539 Å; angles 90.00, 90.00, 90.00 degrees
Fractional positions:
Pd (0.5000, 0.0000, 0.0000)
Pd (0.0000, 0.5000, 0.0000)
H (0.0000, 0.0000, 0.0000)
Cu (0.0000, 0.0000, 0.5000)
As (0.5000, 0.5000, 0.5000)

- Which formula does entry 3 have?
  CuAsHPd2

- total energy of number 1 (ZnCuAsHO5)?
  -0.19622 hartree per atom